[1]
Crystalline Ac2DyAg at its relaxed geometry. Source: the Alexandria database, functional PBE.

Cell lengths 3.9459, 3.9459, 8.9851 Å; angles 90.00, 90.00, 90.00 degrees
Closest atoms and distances in Å follow each position.
Fractional coordinates of all 4 atoms:
Ac: 0.0000 0.0000 0.2207  4 Ag 3.42, 4 Dy 3.75
Ac: 0.0000 0.0000 0.7793  4 Ag 3.42, 4 Dy 3.75
Dy: 0.5000 0.5000 0.5000  8 Ac 3.75, 4 Dy 3.95
Ag: 0.5000 0.5000 0.0000  8 Ac 3.42

Results
Excess energy over the best structure of this formula in the dataset, eV per atom: 0.000
Fermi-level density of states, states/eV per atom: 1.430
Space group: No. 123
DFT formation energy, eV/f.u.: -0.3

---

[2]
Crystalline BaSi at its relaxed geometry. Source: the Alexandria database, functional PBE.

Cell lengths 4.0957, 4.0957, 4.9344 Å; angles 90.00, 90.00, 120.00 degrees
Closest atoms and distances in Å follow each position.
Fractional coordinates of all 2 atoms:
Ba: 0.0000 0.0000 0.0000  6 Si 3.42
Si: 0.6667 0.3333 0.5000  6 Ba 3.42

Results
Fermi-level density of states, states/eV per atom: 0.590
Formation energy without anion corrections, eV/f.u.: 0.48
Space group: No. 187

---

[3]
Crystalline Hg5P4 at its relaxed geometry. Source: the Alexandria database, functional PBE.

Cell lengths 7.8588, 7.8588, 7.8588 Å; angles 93.86, 93.86, 149.91 degrees
Closest atoms and distances in Å follow each position.
Fractional coordinates of all 9 atoms:
Hg: 0.0000 0.0000 0.0000  8 Hg 3.27
Hg: 0.3316 0.3316 0.6631  4 Hg 3.21-3.27
Hg: 0.3316 0.6684 0.0000  4 Hg 3.21-3.27
Hg: 0.6684 0.3316 0.0000  4 Hg 3.21-3.27
Hg: 0.6684 0.6684 0.3369  4 Hg 3.21-3.27
P: 0.0000 0.4000 0.4000  1 P 2.15
P: 0.0000 0.6000 0.6000  1 P 2.15
P: 0.4000 0.0000 0.4000  1 P 2.15
P: 0.6000 0.0000 0.6000  1 P 2.15

Results
Fermi-level density of states, states/eV per atom: 0.478
Space group: No. 139
DFT formation energy, eV/f.u.: 2.5

---

[4]
Crystalline NdY2HoSe6 at its relaxed geometry. Source: the Alexandria database, functional PBE.

Cell lengths 7.7461, 7.7461, 7.7461 Å; angles 56.00, 56.00, 56.00 degrees
Closest atoms and distances in Å follow each position.
Fractional coordinates of all 10 atoms:
Nd: 0.0000 0.0000 0.0000  6 Se 2.92-3.02
Y: 0.2980 0.2980 0.2980  6 Se 2.85-2.91
Y: 0.8012 0.8012 0.8012  6 Se 2.84-2.91
Ho: 0.4951 0.4951 0.4951  6 Se 2.85-2.90
Se: 0.0909 0.6876 0.4127  2 Y 2.84-2.91, 1 Ho 2.90, 1 Nd 2.92
Se: 0.2044 0.5881 0.8961  1 Ho 2.85, 2 Y 2.85-2.91, 1 Nd 3.02
Se: 0.4127 0.0909 0.6876  2 Y 2.84-2.91, 1 Ho 2.90, 1 Nd 2.92
Se: 0.5881 0.8961 0.2044  1 Ho 2.85, 2 Y 2.85-2.91, 1 Nd 3.02
Se: 0.6876 0.4127 0.0909  2 Y 2.84-2.91, 1 Ho 2.90, 1 Nd 2.92
Se: 0.8961 0.2044 0.5881  1 Ho 2.85, 2 Y 2.85-2.91, 1 Nd 3.02

Results
Fermi-level density of states, states/eV per atom: 0.000
Formation energy without anion corrections, eV/f.u.: -18.52
Space group: No. 146